Record 1
# LiTcMoPt

LiTcMoPt after structural relaxation (PBE, Alexandria).

VASP energy ... -7.39 eV per atom
Space-group type ... F-43m (216)

a = 4.3338 Å, b = 4.3338 Å, c = 4.3338 Å
α = 60.00°, β = 60.00°, γ = 60.00°
Element x y z (fractional)
Li  0.5000  0.5000  0.5000
Mo  0.0000  0.0000  0.0000
Tc  0.7500  0.7500  0.7500
Pt  0.2500  0.2500  0.2500

Record 2
# La3ICl2O6

La3ICl2O6 after structural relaxation (PBE, Alexandria).

Uncorrected formation energy ... -2.047 eV/atom
Space-group type ... C2/m (12)

a = 5.6910 Å, b = 7.0111 Å, c = 7.0950 Å
α = 119.61°, β = 81.75°, γ = 90.00°
Element x y z (fractional)
La  0.0000  0.5000  0.0000
La  0.5000  0.5000  0.5000
La  0.5000  0.0000  0.5000
O  0.6635  0.8369  0.6738
O  0.7009  0.8173  0.1225
O  0.2991  0.1827  0.8775
O  0.3365  0.1631  0.3262
O  0.2991  0.6948  0.8775
O  0.7009  0.3052  0.1225
Cl  0.8687  0.2905  0.5809
Cl  0.1313  0.7095  0.4191
I  0.5000  0.0000  0.0000

Record 3
# ZnAs2Ru

ZnAs2Ru after structural relaxation (PBE, Alexandria).

VASP energy ... -4.88 eV per atom
Space-group type ... Cm (8)

a = 4.6789 Å, b = 4.6789 Å, c = 4.9059 Å
α = 82.61°, β = 82.61°, γ = 39.37°
Element x y z (fractional)
Zn  0.2394  0.2394  0.2524
As  0.9902  0.9902  0.0777
As  0.7766  0.7766  0.6880
Ru  0.4938  0.4938  0.4818

Record 4
# GaPbCl4

GaPbCl4 after structural relaxation (PBE, Alexandria).

Uncorrected formation energy ... -0.796 eV/atom
Space-group type ... I-4 (82)

a = 6.1537 Å, b = 6.1538 Å, c = 6.1536 Å
α = 109.78°, β = 109.78°, γ = 108.85°
Element x y z (fractional)
Cl  0.2500  0.2531  0.5019
Cl  0.2519  0.7500  0.0031
Cl  0.7511  0.7480  0.4981
Cl  0.7470  0.2489  0.9969
Ga  0.5000  0.5000  0.0000
Pb  0.7500  0.2500  0.5000